# 1
Computed, not measured: a geometry-optimized Tc3TeC structure at the GGA-PBE level of DFT.

Cell: 4.8564 4.8564 4.8564 Å, 90.00 90.00 90.00°
With the nearest neighbours (Å) after each atom.
Space group Pm-3m (No. 221)
Inequivalent atoms, fractional coordinates:
Tc (0.0000, 0.0000, 0.5000) [3 per cell]  2 Te 2.43
Te (0.0000, 0.0000, 0.0000) [1 per cell]  6 Tc 2.43
C (0.5000, 0.5000, 0.5000) [1 per cell]  12 Tc 3.43

Calculated values
As for the uncorrected formation energy: 3.143 eV/atom. The total energy is -5.550 eV/atom. For the density of states at the Fermi level, the calculation gives 5.21 states/eV/cell. As for the energy above the most stable polymorph in this dataset: 2758 meV/atom.



# 2
Computed, not measured: a geometry-optimized TcTe2C structure at the GGA-PBE level of DFT.

Cell: 3.9874 3.9874 20.2957 Å, 90.00 90.00 120.00°
With the nearest neighbours (Å) after each atom.
Space group R-3m (No. 166, hexagonal axes)
Inequivalent atoms, fractional coordinates:
Tc (0.0000, 0.0000, 0.0000) [3 per cell]  6 Te 2.70
Te (0.0000, 0.0000, 0.4030) [6 per cell]  1 C 1.97
C (0.0000, 0.0000, 0.5000) [3 per cell]  2 Te 1.97

Calculated values
As for the uncorrected formation energy: 1.262 eV/atom. The total energy is -5.206 eV/atom. For the density of states at the Fermi level, the calculation gives 12.50 states/eV/cell.



# 3
Computed, not measured: a geometry-optimized TcTeC2 structure at the GGA-PBE level of DFT.

Cell: 5.1294 5.1294 9.6421 Å, 90.00 90.00 90.00°
With the nearest neighbours (Å) after each atom.
Space group I-42d (No. 122)
Inequivalent atoms, fractional coordinates:
Tc (0.0000, 0.0000, 0.0000) [4 per cell]  4 C 1.97
Te (0.0000, 0.0000, 0.5000) [4 per cell]  4 C 2.43
C (0.1727, 0.2500, 0.1250) [8 per cell]  2 Tc 1.97

Calculated values
As for the uncorrected formation energy: 1.188 eV/atom. The total energy is -6.801 eV/atom. For the density of states at the Fermi level, the calculation gives 11.27 states/eV/cell.



Repeat the third record exactly.
Computed, not measured: a geometry-optimized TcTeC2 structure at the GGA-PBE level of DFT.

Cell: 5.1294 5.1294 9.6421 Å, 90.00 90.00 90.00°
With the nearest neighbours (Å) after each atom.
Space group I-42d (No. 122)
Inequivalent atoms, fractional coordinates:
Tc (0.0000, 0.0000, 0.0000) [4 per cell]  4 C 1.97
Te (0.0000, 0.0000, 0.5000) [4 per cell]  4 C 2.43
C (0.1727, 0.2500, 0.1250) [8 per cell]  2 Tc 1.97

Calculated values
As for the uncorrected formation energy: 1.188 eV/atom. The total energy is -6.801 eV/atom. For the density of states at the Fermi level, the calculation gives 11.27 states/eV/cell.